No. 1
VASP calculation (PBE) on a relaxed NaZn2FeAg crystal.

Properties
Energy relative to the elements, meV/atom: 1282

Cell lengths 4.858, 4.858, 4.785 Å; angles 90.00, 90.00, 90.00 degrees
Atoms (fractional coordinates):
Na 0.000 0.000 0.000
Zn 0.000 0.500 0.000
Zn 0.500 0.000 0.000
Fe 0.000 0.000 0.500
Ag 0.500 0.500 0.500

***

No. 2
VASP calculation (PBE) on a relaxed Hf2InAg2 crystal.

Properties
Energy relative to the elements, meV/atom: 34
Energy above the lowest structure with this stoichiometry, kcal/mol of atoms: 0.00

Cell lengths 7.560, 7.560, 3.592 Å; angles 90.00, 90.00, 90.00 degrees
Atoms (fractional coordinates):
Hf 0.170 0.330 0.000
Hf 0.330 0.830 0.000
Hf 0.670 0.170 0.000
Hf 0.830 0.670 0.000
In 0.000 0.000 0.500
In 0.500 0.500 0.500
Ag 0.128 0.628 0.500
Ag 0.372 0.128 0.500
Ag 0.628 0.872 0.500
Ag 0.872 0.372 0.500

***

No. 3
VASP calculation (PBE) on a relaxed Ta2Al2Cu crystal.

Properties
Energy relative to the elements, meV/atom: -5

Cell lengths 6.224, 6.224, 4.159 Å; angles 90.00, 90.00, 90.00 degrees
Atoms (fractional coordinates):
Ta 0.160 0.340 0.000
Ta 0.340 0.840 0.000
Ta 0.660 0.160 0.000
Ta 0.840 0.660 0.000
Al 0.142 0.642 0.500
Al 0.358 0.142 0.500
Al 0.642 0.858 0.500
Al 0.858 0.358 0.500
Cu 0.000 0.000 0.500
Cu 0.500 0.500 0.500

***

No. 4
VASP calculation (PBE) on a relaxed RbScS4 crystal.

Properties
Energy relative to the elements, uncorrected, eV/atom: -1.101

Cell lengths 5.769, 5.769, 8.186 Å; angles 90.00, 90.00, 90.00 degrees
Atoms (fractional coordinates):
Rb 0.250 0.250 0.000
Rb 0.750 0.750 0.000
Sc 0.250 0.250 0.500
Sc 0.750 0.750 0.500
S 0.121 0.621 0.313
S 0.121 0.879 0.687
S 0.379 0.621 0.687
S 0.379 0.879 0.313
S 0.621 0.121 0.687
S 0.621 0.379 0.313
S 0.879 0.121 0.313
S 0.879 0.379 0.687

***

No. 5
VASP calculation (PBE) on a relaxed RuAuO2 crystal.

Properties
Energy relative to the elements, uncorrected, eV/atom: 0.041

Cell lengths 5.693, 5.693, 5.693 Å; angles 119.08, 119.08, 91.61 degrees
Atoms (fractional coordinates):
Ru 0.000 0.000 0.000
Ru 0.750 0.250 0.500
Au 0.250 0.750 0.500
Au 0.500 0.500 0.000
O 0.375 0.246 0.371
O 0.754 0.125 0.129
O 0.875 0.004 0.629
O 0.996 0.625 0.871

***

No. 6
VASP calculation (PBE) on a relaxed GePICl2 crystal.

Properties
Energy relative to the elements, uncorrected, eV/atom: 0.122
Energy above the lowest structure with this stoichiometry, kcal/mol of atoms: 0.00

Cell lengths 4.760, 4.760, 5.527 Å; angles 90.00, 90.00, 90.00 degrees
Atoms (fractional coordinates):
Ge 0.000 0.000 0.000
P 0.000 0.000 0.500
I 0.500 0.500 0.500
Cl 0.000 0.500 0.000
Cl 0.500 0.000 0.000

***

Please write out number 1 again, unchanged.
VASP calculation (PBE) on a relaxed NaZn2FeAg crystal.

Properties
Energy relative to the elements, meV/atom: 1282

Cell lengths 4.858, 4.858, 4.785 Å; angles 90.00, 90.00, 90.00 degrees
Atoms (fractional coordinates):
Na 0.000 0.000 0.000
Zn 0.000 0.500 0.000
Zn 0.500 0.000 0.000
Fe 0.000 0.000 0.500
Ag 0.500 0.500 0.500